VASP calculation (PBE) on a geometry-optimized TaCuSe2N structure.

Cell lengths 5.150, 5.150, 3.879 Å; angles 90.00, 90.00, 90.00 degrees
Each line ends with the local moment (μB).
Sites, in units of the cell vectors:
N (0.000, 0.000, 0.500)  0.17
Cu (0.500, 0.500, 0.500)  0.04
Se (0.000, 0.500, 0.000)  0.08
Se (0.500, 0.000, 0.000)  0.08
Ta (0.000, 0.000, 0.000)  -0.04

Calculated values
As for the total magnetization: 0.5 μB/cell. Its space-group type is No. 123. The value obtained for the density of states at the Fermi level is 0.919 states/eV/atom. The calculation puts the energy above the most stable polymorph in this dataset at 0.000 eV/atom. The value obtained for the energy relative to the elements, uncorrected is 0.233 eV per atom.